VASP calculation (PBE-GGA) on crystalline ScInSe2 at its relaxed geometry.

a b c (Å): 8.930 8.930 8.930
angles (deg): 25.60 25.60 25.60
Element x y z (fractional)
In: 0.503 0.503 0.503
Sc: 0.744 0.744 0.744
Se: 0.029 0.029 0.029
Se: 0.224 0.224 0.224

## Properties
M_tot = 0.000 μB/atom
calculated total energy = -19.49 eV per cell
ΔE_f (raw) = -0.862 eV/atom

VASP calculation (PBE-GGA) on crystalline Pm2SnH at its relaxed geometry.

a b c (Å): 4.628 4.628 8.799
angles (deg): 90.00 90.00 90.00
Element x y z (fractional)
Pm: 0.750 0.750 0.853
Pm: 0.750 0.250 0.500
Pm: 0.250 0.250 0.147
Pm: 0.250 0.750 0.500
Sn: 0.250 0.250 0.780
Sn: 0.750 0.750 0.220
H: 0.250 0.250 0.418
H: 0.750 0.750 0.582

## Properties
M_tot = 0.000 μB/atom
offset from the most stable computed form = 0.000 eV/atom
calculated total energy = -39.21 eV per cell

VASP calculation (PBE-GGA) on crystalline SmDy6Er12 at its relaxed geometry.

a b c (Å): 8.462 8.462 8.462
angles (deg): 88.33 88.33 88.33
Element x y z (fractional)
Sm: 0.000 0.000 0.000
Dy: 0.744 0.910 0.314
Dy: 0.686 0.256 0.090
Dy: 0.090 0.686 0.256
Dy: 0.256 0.090 0.686
Dy: 0.314 0.744 0.910
Dy: 0.910 0.314 0.744
Er: 0.772 0.545 0.436
Er: 0.436 0.772 0.545
Er: 0.545 0.436 0.772
Er: 0.228 0.455 0.564
Er: 0.564 0.228 0.455
Er: 0.455 0.564 0.228
Er: 0.009 0.213 0.354
Er: 0.787 0.646 0.991
Er: 0.646 0.991 0.787
Er: 0.991 0.787 0.646
Er: 0.213 0.354 0.009
Er: 0.354 0.009 0.213

## Properties
M_tot = 0.000 μB/atom
offset from the most stable computed form = 0.000 eV/atom
calculated total energy = -84.03 eV per cell

VASP calculation (PBE-GGA) on crystalline Er6SbAs3S2 at its relaxed geometry.

a b c (Å): 4.073 8.139 9.079
angles (deg): 102.86 102.96 90.00
Element x y z (fractional)
Er: 0.327 0.914 0.655
Er: 0.667 0.584 0.335
Er: 0.673 0.086 0.345
Er: 0.002 0.265 0.004
Er: 0.998 0.735 0.996
Er: 0.333 0.416 0.665
Sb: 0.500 0.000 0.000
As: 0.500 0.500 0.000
As: 0.835 0.170 0.670
As: 0.165 0.830 0.330
S: 0.830 0.662 0.661
S: 0.170 0.338 0.339

## Properties
M_tot = 0.000 μB/atom
calculated total energy = -72.79 eV per cell
ΔE_f (raw) = -1.591 eV/atom

VASP calculation (PBE-GGA) on crystalline KGaHg2Pd at its relaxed geometry.

a b c (Å): 5.429 5.429 4.842
angles (deg): 90.00 90.00 90.00
Element x y z (fractional)
K: 0.500 0.500 0.500
Ga: 0.000 0.000 0.500
Hg: 0.000 0.500 0.000
Hg: 0.500 0.000 0.000
Pd: 0.000 0.000 0.000

## Properties
M_tot = 0.000 μB/atom
calculated total energy = -11.08 eV per cell

VASP calculation (PBE-GGA) on crystalline Rb2TlPb at its relaxed geometry.

a b c (Å): 5.178 7.186 7.186
angles (deg): 59.45 68.91 68.92
Element x y z (fractional)
Rb: 0.064 0.857 0.015
Rb: 0.436 0.485 0.643
Tl: 0.250 0.187 0.313
Pb: 0.750 0.971 0.529

## Properties
M_tot = 0.000 μB/atom
offset from the most stable computed form = 0.014 eV/atom
calculated total energy = -8.20 eV per cell

VASP calculation (PBE-GGA) on crystalline YBRuRh2 at its relaxed geometry.

a b c (Å): 4.196 4.196 4.232
angles (deg): 90.00 90.00 90.00
Element x y z (fractional)
Y: 0.500 0.500 0.500
Ru: 0.000 0.000 0.500
B: 0.000 0.000 0.000
Rh: 0.000 0.500 0.000
Rh: 0.500 0.000 0.000

## Properties
M_tot = 0.000 μB/atom
offset from the most stable computed form = 0.000 eV/atom
calculated total energy = -40.14 eV per cell

VASP calculation (PBE-GGA) on crystalline Y2Ho12Zr at its relaxed geometry.

a b c (Å): 6.617 6.617 23.741
angles (deg): 86.33 93.67 64.35
Element x y z (fractional)
Y: 0.529 0.971 0.266
Y: 0.032 0.468 0.267
Y: 0.971 0.529 0.734
Y: 0.468 0.032 0.733
Ho: 0.508 0.489 0.805
Ho: 0.011 0.992 0.805
Ho: 0.765 0.735 0.879
Ho: 0.322 0.669 0.934
Ho: 0.056 0.943 0.327
Ho: 0.178 0.831 0.066
Ho: 0.648 0.353 0.556
Ho: 0.557 0.444 0.327
Ho: 0.269 0.231 0.878
Ho: 0.735 0.765 0.121
Ho: 0.157 0.343 0.578
Ho: 0.852 0.147 0.444
Ho: 0.943 0.056 0.673
Ho: 0.343 0.157 0.422
Ho: 0.231 0.269 0.122
Ho: 0.845 0.655 0.424
Ho: 0.655 0.845 0.576
Ho: 0.992 0.011 0.195
Ho: 0.147 0.852 0.556
Ho: 0.444 0.557 0.673
Ho: 0.831 0.178 0.934
Ho: 0.489 0.508 0.195
Ho: 0.353 0.648 0.444
Ho: 0.669 0.322 0.066
Zr: 0.519 0.981 0.996
Zr: 0.981 0.519 0.004

## Properties
M_tot = 0.000 μB/atom
calculated total energy = -148.31 eV per cell

VASP calculation (PBE-GGA) on crystalline CaIn2Tc at its relaxed geometry.

a b c (Å): 4.953 4.953 4.953
angles (deg): 60.00 60.00 60.00
Element x y z (fractional)
Ca: 0.500 0.500 0.500
Tc: 0.750 0.750 0.750
In: 0.000 0.000 0.000
In: 0.250 0.250 0.250

## Properties
M_tot = 0.000 μB/atom
offset from the most stable computed form = 0.352 eV/atom
calculated total energy = -16.36 eV per cell

VASP calculation (PBE-GGA) on crystalline Pm2Be4NiPt3 at its relaxed geometry.

a b c (Å): 4.003 4.003 9.647
angles (deg): 90.00 90.00 90.00
Element x y z (fractional)
Pm: 0.500 0.000 0.254
Pm: 0.000 0.500 0.746
Be: 0.500 0.500 0.000
Be: 0.000 0.000 0.000
Be: 0.500 0.000 0.617
Be: 0.000 0.500 0.383
Ni: 0.500 0.500 0.500
Pt: 0.000 0.000 0.500
Pt: 0.500 0.000 0.873
Pt: 0.000 0.500 0.127

## Properties
M_tot = 0.000 μB/atom
calculated total energy = -55.71 eV per cell

VASP calculation (PBE-GGA) on crystalline PmSmHgO at its relaxed geometry.

a b c (Å): 3.746 3.756 7.352
angles (deg): 104.78 104.76 90.00
Element x y z (fractional)
Pm: 0.669 0.127 0.338
Sm: 0.974 0.432 0.948
Hg: 0.322 0.780 0.643
O: 0.570 0.528 0.141

## Properties
M_tot = 0.009 μB/atom
calculated total energy = -21.25 eV per cell
ΔE_f (raw) = -1.630 eV/atom

VASP calculation (PBE-GGA) on crystalline TmZn2Cd at its relaxed geometry.

a b c (Å): 3.370 3.370 7.092
angles (deg): 90.00 90.00 90.00
Element x y z (fractional)
Zn: 0.000 0.000 0.765
Zn: 0.000 0.000 0.235
Tm: 0.500 0.500 0.500
Cd: 0.500 0.500 0.000

## Properties
M_tot = 0.021 μB/atom
offset from the most stable computed form = 0.120 eV/atom
calculated total energy = -8.57 eV per cell

VASP calculation (PBE-GGA) on crystalline Cs4H2BrCl at its relaxed geometry.

a b c (Å): 4.836 8.446 8.391
angles (deg): 70.68 90.00 90.00
Element x y z (fractional)
Cs: 0.000 0.778 0.734
Cs: 0.000 0.222 0.266
Cs: 0.500 0.773 0.249
Cs: 0.500 0.227 0.751
H: 0.000 0.000 0.000
H: 0.500 0.000 0.500
Br: 0.500 0.500 0.000
Cl: 0.000 0.500 0.500

## Properties
M_tot = 0.013 μB/atom
calculated total energy = -21.71 eV per cell

VASP calculation (PBE-GGA) on crystalline AgBi2RhO6 at its relaxed geometry.

a b c (Å): 5.726 5.726 6.111
angles (deg): 62.07 62.07 60.00
Element x y z (fractional)
Ag: 0.797 0.797 0.609
Bi: 0.529 0.529 0.413
Bi: 0.011 0.011 0.966
Rh: 0.326 0.326 0.021
O: 0.576 0.227 0.228
O: 0.227 0.969 0.228
O: 0.969 0.576 0.228
O: 0.397 0.689 0.775
O: 0.689 0.139 0.775
O: 0.139 0.397 0.775

## Properties
M_tot = 0.000 μB/atom
calculated total energy = -56.11 eV per cell
ΔE_f (raw) = -0.839 eV/atom

VASP calculation (PBE-GGA) on crystalline Mg2BH6 at its relaxed geometry.

a b c (Å): 4.254 5.490 6.095
angles (deg): 90.00 91.37 90.00
Element x y z (fractional)
Mg: 0.961 0.384 0.735
Mg: 0.539 0.884 0.765
Mg: 0.461 0.116 0.235
Mg: 0.039 0.616 0.265
B: 0.500 0.500 0.000
B: 0.000 0.000 0.500
H: 0.881 0.964 0.275
H: 0.885 0.770 0.561
H: 0.802 0.638 0.944
H: 0.698 0.138 0.556
H: 0.615 0.270 0.939
H: 0.619 0.464 0.225
H: 0.119 0.036 0.725
H: 0.115 0.230 0.439
H: 0.198 0.362 0.056
H: 0.302 0.862 0.444
H: 0.385 0.730 0.061
H: 0.381 0.536 0.775

## Properties
M_tot = 0.000 μB/atom
offset from the most stable computed form = 0.000 eV/atom
calculated total energy = -56.19 eV per cell

VASP calculation (PBE-GGA) on crystalline TlFe2Ru at its relaxed geometry.

a b c (Å): 8.881 8.881 8.881
angles (deg): 18.63 18.63 18.63
Element x y z (fractional)
Fe: 0.993 0.993 0.993
Fe: 0.507 0.507 0.507
Ru: 0.250 0.250 0.250
Tl: 0.750 0.750 0.750

## Properties
M_tot = 1.257 μB/atom
offset from the most stable computed form = 0.241 eV/atom
calculated total energy = -26.06 eV per cell

VASP calculation (PBE-GGA) on crystalline CsBeBi at its relaxed geometry.

a b c (Å): 6.462 6.462 8.957
angles (deg): 90.00 90.00 120.00
Element x y z (fractional)
Cs: 0.333 0.667 0.250
Cs: 0.667 0.333 0.750
Be: 0.000 0.000 0.250
Be: 0.000 0.000 0.750
Bi: 0.000 0.000 0.000
Bi: 0.000 0.000 0.500

## Properties
M_tot = 0.000 μB/atom
calculated total energy = -15.36 eV per cell

VASP calculation (PBE-GGA) on crystalline Ta3TlSe at its relaxed geometry.

a b c (Å): 4.769 4.769 4.769
angles (deg): 90.00 90.00 90.00
Element x y z (fractional)
Tl: 0.500 0.500 0.500
Se: 0.000 0.000 0.000
Ta: 0.000 0.500 0.000
Ta: 0.000 0.000 0.500
Ta: 0.500 0.000 0.000

## Properties
M_tot = 0.000 μB/atom
offset from the most stable computed form = 0.000 eV/atom
calculated total energy = -36.52 eV per cell
ΔE_f (raw) = 0.978 eV/atom

VASP calculation (PBE-GGA) on crystalline ReSbAs2 at its relaxed geometry.

a b c (Å): 3.026 3.026 9.864
angles (deg): 90.00 90.00 117.27
Element x y z (fractional)
Re: 0.000 0.000 0.481
As: 0.000 0.000 0.004
As: 0.500 0.500 0.290
Sb: 0.500 0.500 0.725

## Properties
M_tot = 0.000 μB/atom
calculated total energy = -23.60 eV per cell
ΔE_f (raw) = 0.568 eV/atom

VASP calculation (PBE-GGA) on crystalline CrAg3Cl at its relaxed geometry.

a b c (Å): 5.019 5.019 5.019
angles (deg): 90.00 90.00 90.00
Element x y z (fractional)
Cr: 0.500 0.500 0.500
Ag: 0.000 0.500 0.000
Ag: 0.000 0.000 0.500
Ag: 0.500 0.000 0.000
Cl: 0.000 0.000 0.000

## Properties
M_tot = 1.003 μB/atom
offset from the most stable computed form = 0.000 eV/atom
calculated total energy = -15.48 eV per cell
ΔE_f (raw) = 0.908 eV/atom